1.
An optimized crystal structure of TiNbAlRh. Source: Alexandria via LeMat-Bulk, functional PBE.

Values from the calculation:
Calculated volume = 63.7 Å³ per cell
Raw total energy = -0.28153 Ha/atom

a = 4.4837 Å, b = 4.4837 Å, c = 4.4837 Å
α = 60.00°, β = 60.00°, γ = 60.00°
With the nearest neighbours (Å) after each atom.
Atoms (fractional coordinates):
Ti 0.0000 0.0000 0.0000  4 Nb 2.75, 4 Rh 2.75
Nb 0.2500 0.2500 0.2500  4 Al 2.75, 4 Ti 2.75
Al 0.5000 0.5000 0.5000  4 Nb 2.75, 4 Rh 2.75
Rh 0.7500 0.7500 0.7500  4 Al 2.75, 4 Ti 2.75



2.
An optimized crystal structure of Zr2NbAl2Rh5. Source: Alexandria via LeMat-Bulk, functional PBE.

Values from the calculation:
Calculated volume = 325.8 Å³ per cell
Raw total energy = -0.28885 Ha/atom

a = 9.4857 Å, b = 9.4857 Å, c = 3.6209 Å
α = 90.00°, β = 90.00°, γ = 90.00°
With the nearest neighbours (Å) after each atom.
Atoms (fractional coordinates):
Zr 0.1740 0.3260 0.0000  3 Al 2.72-2.86, 2 Rh 2.95
Zr 0.3260 0.8260 0.0000  3 Al 2.72-2.86, 2 Rh 2.95
Zr 0.6740 0.1740 0.0000  3 Al 2.72-2.86, 2 Rh 2.95
Zr 0.8260 0.6740 0.0000  3 Al 2.72-2.86, 2 Rh 2.95
Nb 0.0000 0.0000 0.0000  8 Rh 2.73
Nb 0.5000 0.5000 0.0000  8 Rh 2.73
Al 0.1231 0.6231 0.0000  6 Rh 2.45-2.50, 1 Zr 2.72
Al 0.3769 0.1231 0.0000  6 Rh 2.45-2.50, 1 Zr 2.72
Al 0.6231 0.8769 0.0000  6 Rh 2.45-2.50, 1 Zr 2.72
Al 0.8769 0.3769 0.0000  6 Rh 2.45-2.50, 1 Zr 2.72
Rh 0.0000 0.5000 0.5000  4 Al 2.45
Rh 0.0670 0.7959 0.5000  2 Al 2.50, 2 Nb 2.73
Rh 0.2041 0.0670 0.5000  2 Al 2.50, 2 Nb 2.73
Rh 0.2959 0.5670 0.5000  2 Al 2.50, 2 Nb 2.73
Rh 0.4330 0.2959 0.5000  2 Al 2.50, 2 Nb 2.73
Rh 0.5000 0.0000 0.5000  4 Al 2.45
Rh 0.5670 0.7041 0.5000  2 Al 2.50, 2 Nb 2.73
Rh 0.7041 0.4330 0.5000  2 Al 2.50, 2 Nb 2.73
Rh 0.7959 0.9330 0.5000  2 Al 2.50, 2 Nb 2.73
Rh 0.9330 0.2041 0.5000  2 Al 2.50, 2 Nb 2.73



3.
An optimized crystal structure of NbAl2Ru. Source: Alexandria via LeMat-Bulk, functional PBE.

Values from the calculation:
Calculated volume = 61.0 Å³ per cell
Raw total energy = -0.25619 Ha/atom

a = 4.4191 Å, b = 4.4191 Å, c = 4.4191 Å
α = 60.00°, β = 60.00°, γ = 60.00°
With the nearest neighbours (Å) after each atom.
Atoms (fractional coordinates):
Nb 0.0000 0.0000 0.0000  8 Al 2.71
Al 0.2500 0.2500 0.2500  4 Nb 2.71, 4 Ru 2.71
Al 0.7500 0.7500 0.7500  4 Nb 2.71, 4 Ru 2.71
Ru 0.5000 0.5000 0.5000  8 Al 2.71



4.
An optimized crystal structure of Nb3AlRu. Source: Alexandria via LeMat-Bulk, functional PBE.

Values from the calculation:
Calculated volume = 99.4 Å³ per cell
Energy relative to the lowest polymorph listed for this composition = 463 meV/atom
Raw total energy = -0.26755 Ha/atom

a = 4.6326 Å, b = 4.6326 Å, c = 4.6326 Å
α = 90.00°, β = 90.00°, γ = 90.00°
With the nearest neighbours (Å) after each atom.
Atoms (fractional coordinates):
Nb 0.0000 0.0000 0.5000  2 Al 2.32
Nb 0.0000 0.5000 0.0000  2 Al 2.32
Nb 0.5000 0.0000 0.0000  2 Al 2.32
Al 0.0000 0.0000 0.0000  6 Nb 2.32
Ru 0.5000 0.5000 0.5000  12 Nb 3.28



5.
An optimized crystal structure of NbAl3Ru. Source: Alexandria via LeMat-Bulk, functional PBE.

Values from the calculation:
Calculated volume = 95.7 Å³ per cell
Energy relative to the lowest polymorph listed for this composition = 0 meV/atom
Raw total energy = -0.21145 Ha/atom

a = 4.5735 Å, b = 4.5735 Å, c = 4.5735 Å
α = 90.00°, β = 90.00°, γ = 90.00°
With the nearest neighbours (Å) after each atom.
Atoms (fractional coordinates):
Nb 0.0000 0.0000 0.0000  12 Al 3.23
Al 0.0000 0.5000 0.5000  2 Ru 2.29
Al 0.5000 0.0000 0.5000  2 Ru 2.29
Al 0.5000 0.5000 0.0000  2 Ru 2.29
Ru 0.5000 0.5000 0.5000  6 Al 2.29



6.
An optimized crystal structure of Nb3AlRu. Source: Alexandria via LeMat-Bulk, functional PBE.

Values from the calculation:
Calculated volume = 110.1 Å³ per cell
Energy relative to the lowest polymorph listed for this composition = 0 meV/atom
Raw total energy = -0.28458 Ha/atom

a = 4.7935 Å, b = 4.7935 Å, c = 4.7935 Å
α = 90.00°, β = 90.00°, γ = 90.00°
With the nearest neighbours (Å) after each atom.
Atoms (fractional coordinates):
Nb 0.0000 0.0000 0.5000  2 Ru 2.40
Nb 0.0000 0.5000 0.0000  2 Ru 2.40
Nb 0.5000 0.0000 0.0000  2 Ru 2.40
Al 0.5000 0.5000 0.5000  12 Nb 3.39
Ru 0.0000 0.0000 0.0000  6 Nb 2.40



7.
An optimized crystal structure of Nb2Al2Ru3. Source: Alexandria via LeMat-Bulk, functional PBE.

Values from the calculation:
Calculated volume = 115.6 Å³ per cell
Raw total energy = -0.30467 Ha/atom

a = 4.4109 Å, b = 4.4168 Å, c = 7.2881 Å
α = 72.65°, β = 89.93°, γ = 60.06°
With the nearest neighbours (Å) after each atom.
Atoms (fractional coordinates):
Nb 0.1166 0.2674 0.3459  7 Ru 2.61-2.76
Nb 0.8834 0.7326 0.6541  7 Ru 2.61-2.76
Al 0.3722 0.7565 0.1098  5 Ru 2.55-2.77
Al 0.6278 0.2435 0.8902  5 Ru 2.55-2.77
Ru 0.2435 0.0122 0.7367  4 Al 2.55-2.77, 4 Nb 2.61-2.67
Ru 0.5000 0.5000 0.5000  2 Al 2.67, 6 Nb 2.76
Ru 0.7565 0.9878 0.2633  4 Al 2.55-2.77, 4 Nb 2.61-2.67



8.
An optimized crystal structure of NbAl2Ru3. Source: Alexandria via LeMat-Bulk, functional PBE.

Values from the calculation:
Calculated volume = 87.0 Å³ per cell
Raw total energy = -0.30032 Ha/atom

a = 3.1049 Å, b = 3.1049 Å, c = 9.0286 Å
α = 90.00°, β = 90.00°, γ = 90.00°
With the nearest neighbours (Å) after each atom.
Atoms (fractional coordinates):
Nb 0.0000 0.0000 0.0000  8 Ru 2.69
Al 0.0000 0.0000 0.3441  8 Ru 2.61-2.69, 1 Al 2.82
Al 0.0000 0.0000 0.6559  8 Ru 2.61-2.69, 1 Al 2.82
Ru 0.5000 0.5000 0.1716  4 Nb 2.69, 4 Al 2.69, 1 Ru 2.97
Ru 0.5000 0.5000 0.5000  8 Al 2.61
Ru 0.5000 0.5000 0.8284  4 Nb 2.69, 4 Al 2.69, 1 Ru 2.97



Question: calculated volume of number 3 (NbAl2Ru)?
Answer: 61.0 Å³ per cell



Question: Which of these has the highest raw total energy?
Answer: NbAl3Ru